1.
VASP calculation (PBE) on LiPr2P3Pd12 after structural relaxation.

POSCAR file:
```
LiPr2P3Pd12
1.0
-2.7058 -1.6830 -6.5139
-4.1068 -5.9073 0.9077
-6.9005 2.2288 -0.0340
P Pd Pr Li
3 12 2 1
direct
0.5000 0.0000 0.0000
0.0000 0.0000 0.5000
0.0000 0.5000 0.0000
0.8542 0.8542 0.3644
0.8542 0.3644 0.8542
0.3644 0.8542 0.8542
0.1458 0.1458 0.6356
0.3031 0.3031 0.8807
0.6356 0.1458 0.1458
0.6969 0.1193 0.6969
0.8807 0.3031 0.3031
0.1458 0.6356 0.1458
0.6969 0.6969 0.1193
0.3031 0.8807 0.3031
0.1193 0.6969 0.6969
0.3891 0.3891 0.3891
0.6109 0.6109 0.6109
0.0000 0.0000 0.0000
```

**Energy relative to the elements**: -0.449 eV per atom

2.
VASP calculation (PBE) on CsSn2IrW after structural relaxation.

POSCAR file:
```
CsSn2IrW
1.0
5.3866 0.0000 0.0000
0.0000 4.9410 0.0000
0.0000 0.0000 5.3866
Cs W Sn Ir
1 1 2 1
direct
0.5000 0.5000 0.5000
0.0000 0.0000 0.0000
0.0000 0.0000 0.5000
0.5000 0.0000 0.0000
0.0000 0.5000 0.0000
```

**Energy relative to the elements**: 0.623 eV per atom

3.
VASP calculation (PBE) on K2Rb6HgCl after structural relaxation.

POSCAR file:
```
K2Rb6HgCl
1.0
-0.7602 -8.0734 -5.7896
6.5011 -4.8103 5.8200
-8.1714 4.1013 3.9580
K Rb Cl Hg
2 6 1 1
direct
0.2506 0.7517 0.5018
0.7512 0.2511 0.5018
0.2396 0.7611 0.0002
0.2397 0.2402 0.0003
0.2390 0.2395 0.4775
0.7605 0.7610 0.0002
0.7607 0.2401 0.0002
0.7595 0.7600 0.5195
0.9993 0.9998 0.9987
0.4989 0.4994 0.9978
```

**Formation energy (no corrections)**: -3.84 eV per formula unit

4.
VASP calculation (PBE) on GdHoTe2 after structural relaxation.

POSCAR file:
```
GdHoTe2
1.0
5.3623 0.0000 0.0000
2.6812 4.6439 0.0000
2.6812 1.5480 4.3783
Te Ho Gd
2 1 1
direct
0.2500 0.2500 0.2500
0.7500 0.7500 0.7500
0.0000 0.0000 0.0000
0.5000 0.5000 0.5000
```

**Formation energy (no corrections)**: -4.82 eV per formula unit
**Energy relative to the lowest polymorph listed for this composition**: 0.129 eV per atom

Number 1: uncorrected energy -98.11 eV per formula unit, density 8.08 g/cm3. Number 2: uncorrected energy -27.56 eV per formula unit, density 8.64 g/cm3. Number 3: uncorrected energy -13.99 eV per formula unit, density 1.97 g/cm3. Number 4: uncorrected energy -29.77 eV per formula unit, density 8.79 g/cm3.